A plane-wave DFT calculation with PBE-GGA was carried out for crystalline CeAg2Pb3Se6 at its relaxed geometry.

a b c (Å): 7.277 7.277 7.470
angles (deg): 98.87 98.87 120.26
Site moments in Bohr magnetons follow the coordinates.
Atoms (fractional coordinates):
Ag 0.330 0.670 0.000  0.00
Ag 0.670 0.330 0.000  0.00
Se 0.081 0.407 0.227  -0.01
Se 0.919 0.593 0.773  -0.01
Se 0.593 0.919 0.773  -0.01
Se 0.407 0.081 0.227  -0.01
Se 0.246 0.246 0.759  -0.01
Se 0.754 0.754 0.241  -0.01
Pb 0.500 0.500 0.500  0.00
Pb 0.835 0.165 0.500  0.00
Pb 0.165 0.835 0.500  0.00
Ce 0.000 0.000 0.000  0.16

- Space group: C2/m
- Mass density: 7.417 g/cm³
- E_tot: -51.82 eV/f.u.

=====

A plane-wave DFT calculation with PBE-GGA was carried out for crystalline YPd2Au4 at its relaxed geometry.

a b c (Å): 7.001 7.001 5.637
angles (deg): 128.31 128.31 90.09
Atoms (fractional coordinates):
Pd 0.750 0.250 0.500
Pd 0.250 0.750 0.500
Au 0.700 0.700 0.000
Au 0.699 0.301 0.000
Au 0.300 0.300 0.000
Au 0.301 0.699 0.000
Y 0.000 0.000 0.000

- Space group: I4/mmm
- Mass density: 13.650 g/cm³
- Formation energy from the elements: -309 kJ/mol of formula units
- E_tot: -33.16 eV/f.u.